1.
The following is a PBE-GGA calculation of a relaxed NaNbIr2 crystal, from Alexandria.

Results
crystal system: tetragonal

Unit cell a=7.265 b=7.265 c=5.640 alpha=90.00 beta=90.00 gamma=90.00
Space group I-42d (No. 122)
Inequivalent atoms, fractional coordinates:
1 Na 0.000 0.000 0.000 x4
2 Nb 0.000 0.000 0.500 x4
3 Ir 0.213 0.250 0.625 x8

2.
The following is a PBE-GGA calculation of a relaxed Dy3Ag2Hg crystal, from Alexandria.

Results
crystal system: tetragonal
relative energy among the computed polymorphs: 0.004 eV per atom

Unit cell a=3.669 b=3.669 c=10.961 alpha=90.00 beta=90.00 gamma=90.00
Space group P4/mmm (No. 123)
Inequivalent atoms, fractional coordinates:
1 Dy 0.000 0.000 0.000 x1
2 Dy 0.000 0.000 0.329 x2
3 Ag 0.500 0.500 0.165 x2
4 Hg 0.500 0.500 0.500 x1

Going through the records in order, we get ΔE_f values of 1.50 -2.25 eV/f.u..